[1]
# TmLuGa PBE optimized geometry
# distance to the lowest polymorph of the same formula	0.1262	eV/atom
# crystal system	trigonal
# ΔH_f (0 K)	-25.1	kJ/mol of atoms
data_TmLuGa
_chemical_formula_sum 'Tm1 Lu1 Ga1'
_space_group_name_H-M_alt 'P 3 m 1'
_space_group_IT_number 156
_cell_length_a 4.9021
_cell_length_b 4.9021
_cell_length_c 3.5728
_cell_angle_alpha 90.00
_cell_angle_beta 90.00
_cell_angle_gamma 120.00
loop_
_space_group_symop_operation_xyz
'x,y,z'
'-y,x-y,z'
'-x+y,-x,z'
'-y,-x,z'
'-x+y,y,z'
'x,x-y,z'
loop_
_atom_site_label
_atom_site_type_symbol
_atom_site_fract_x
_atom_site_fract_y
_atom_site_fract_z
_atom_site_occupancy
Tm1 Tm 0.0000 0.0000 0.0000 1
Lu1 Lu 0.3333 0.6667 0.5318 1
Ga1 Ga 0.6667 0.3333 0.2922 1



[2]
# Er2Zr2Se7 PBE optimized geometry
# crystal system	orthorhombic
# formation energy (no corrections)	-1556	kJ/mol of formula units
data_Er2Zr2Se7
_chemical_formula_sum 'Er4 Zr4 Se14'
_space_group_name_H-M_alt 'I m m 2'
_space_group_IT_number 44
_cell_length_a 3.9127
_cell_length_b 14.4446
_cell_length_c 8.8000
_cell_angle_alpha 90.00
_cell_angle_beta 90.00
_cell_angle_gamma 90.00
loop_
_space_group_symop_operation_xyz
'x,y,z'
'-x,-y,z'
'-x,y,z'
'x,-y,z'
'x+1/2,y+1/2,z+1/2'
'-x+1/2,-y+1/2,z+1/2'
'-x+1/2,y+1/2,z+1/2'
'x+1/2,-y+1/2,z+1/2'
loop_
_atom_site_label
_atom_site_type_symbol
_atom_site_fract_x
_atom_site_fract_y
_atom_site_fract_z
_atom_site_occupancy
Er1 Er 0.0000 0.2299 0.0000 1
Zr1 Zr 0.0000 0.0000 0.7549 1
Zr2 Zr 0.0000 0.5000 0.8094 1
Se1 Se 0.0000 0.0000 0.0784 1
Se2 Se 0.0000 0.1044 0.4848 1
Se3 Se 0.0000 0.3191 0.7079 1
Se4 Se 0.0000 0.3674 0.2958 1



[3]
# RuS2O8 PBE optimized geometry
# crystal system	monoclinic
# formation energy (no corrections)	-1106	kJ/mol of formula units
data_RuS2O8
_chemical_formula_sum 'Ru2 S4 O16'
_space_group_name_H-M_alt 'C 1 2/m 1'
_space_group_IT_number 12
_cell_length_a 9.5526
_cell_length_b 7.7566
_cell_length_c 4.6458
_cell_angle_alpha 90.00
_cell_angle_beta 98.94
_cell_angle_gamma 90.00
loop_
_space_group_symop_operation_xyz
'x,y,z'
'-x,-y,-z'
'-x,y,-z'
'x,-y,z'
'x+1/2,y+1/2,z'
'-x+1/2,-y+1/2,-z'
'-x+1/2,y+1/2,-z'
'x+1/2,-y+1/2,z'
loop_
_atom_site_label
_atom_site_type_symbol
_atom_site_fract_x
_atom_site_fract_y
_atom_site_fract_z
_atom_site_occupancy
Ru1 Ru 0.0000 0.0000 0.0000 1
S1 S 0.1981 0.0000 0.6491 1
O1 O 0.1175 0.1511 0.7672 1
O2 O 0.1526 0.5000 0.2623 1
O3 O 0.1663 0.0000 0.3185 1



[4]
# YTcN3 PBE optimized geometry
# crystal system	monoclinic
# formation energy (no corrections)	-213	kJ/mol of formula units
data_YTcN3
_chemical_formula_sum 'Y1 Tc1 N3'
_space_group_name_H-M_alt 'P 1 m 1'
_space_group_IT_number 6
_cell_length_a 3.8598
_cell_length_b 3.8238
_cell_length_c 4.5921
_cell_angle_alpha 90.00
_cell_angle_beta 90.13
_cell_angle_gamma 90.00
loop_
_space_group_symop_operation_xyz
'x,y,z'
'x,-y,z'
loop_
_atom_site_label
_atom_site_type_symbol
_atom_site_fract_x
_atom_site_fract_y
_atom_site_fract_z
_atom_site_occupancy
Y1 Y 0.0000 0.0000 0.0000 1
Tc1 Tc 0.5009 0.5000 0.4013 1
N1 N 0.0012 0.5000 0.2796 1
N2 N 0.5011 0.0000 0.2718 1
N3 N 0.5026 0.5000 0.7810 1



[5]
# MgZrTi4 PBE optimized geometry
# crystal system	cubic
# ΔH_f (0 K)	19.5	kJ/mol of atoms
data_MgZrTi4
_chemical_formula_sum 'Mg4 Zr4 Ti16'
_space_group_name_H-M_alt 'F -4 3 m'
_space_group_IT_number 216
_space_group_name_Hall 'F -4 2 3'
_cell_length_a 7.7758
_cell_length_b 7.7758
_cell_length_c 7.7758
_cell_angle_alpha 90.00
_cell_angle_beta 90.00
_cell_angle_gamma 90.00
loop_
_atom_site_label
_atom_site_type_symbol
_atom_site_fract_x
_atom_site_fract_y
_atom_site_fract_z
_atom_site_occupancy
Mg1 Mg 0.0000 0.0000 0.0000 1
Zr1 Zr 0.2500 0.2500 0.7500 1
Ti1 Ti 0.1218 0.1218 0.3782 1



[6]
# Sr2ThO4 PBE optimized geometry
# crystal system	orthorhombic
# formation energy (no corrections)	-2175	kJ/mol of formula units
data_Sr2ThO4
_chemical_formula_sum 'Sr4 Th2 O8'
_space_group_name_H-M_alt 'P b a m'
_space_group_IT_number 55
_cell_length_a 6.1833
_cell_length_b 10.6826
_cell_length_c 3.6923
_cell_angle_alpha 90.00
_cell_angle_beta 90.00
_cell_angle_gamma 90.00
loop_
_space_group_symop_operation_xyz
'x,y,z'
'-x,-y,-z'
'-x,-y,z'
'x,y,-z'
'x+1/2,-y+1/2,-z'
'-x+1/2,y+1/2,z'
'-x+1/2,y+1/2,-z'
'x+1/2,-y+1/2,z'
loop_
_atom_site_label
_atom_site_type_symbol
_atom_site_fract_x
_atom_site_fract_y
_atom_site_fract_z
_atom_site_occupancy
Sr1 Sr 0.0568 0.1785 0.0000 1
Th1 Th 0.0000 0.5000 0.5000 1
O1 O 0.1497 0.6964 0.5000 1
O2 O 0.2308 0.4606 0.0000 1



[7]
# MgTaCo2Re PBE optimized geometry
# crystal system	tetragonal
# ΔH_f (0 K)	167.4	kJ/mol of atoms
data_MgTaCo2Re
_chemical_formula_sum 'Mg1 Ta1 Co2 Re1'
_space_group_name_H-M_alt 'P 4/m m m'
_space_group_IT_number 123
_space_group_name_Hall '-P 4 2'
_cell_length_a 4.0847
_cell_length_b 4.0847
_cell_length_c 4.7299
_cell_angle_alpha 90.00
_cell_angle_beta 90.00
_cell_angle_gamma 90.00
loop_
_atom_site_label
_atom_site_type_symbol
_atom_site_fract_x
_atom_site_fract_y
_atom_site_fract_z
_atom_site_occupancy
Mg1 Mg 0.0000 0.0000 0.0000 1
Ta1 Ta 0.0000 0.0000 0.5000 1
Co1 Co 0.0000 0.5000 0.0000 1
Re1 Re 0.5000 0.5000 0.5000 1



[8]
# CaMg2Pb PBE optimized geometry
# distance to the lowest polymorph of the same formula	0.0223	eV/atom
# crystal system	tetragonal
# ΔH_f (0 K)	-21.1	kJ/mol of atoms
data_CaMg2Pb
_chemical_formula_sum 'Ca2 Mg4 Pb2'
_space_group_name_H-M_alt 'P 4/n m m'
_space_group_IT_number 129
_cell_length_a 4.5448
_cell_length_b 4.5448
_cell_length_c 11.1226
_cell_angle_alpha 90.00
_cell_angle_beta 90.00
_cell_angle_gamma 90.00
loop_
_space_group_symop_operation_xyz
'x,y,z'
'-x,-y,-z'
'-y+1/2,x,z'
'y+1/2,-x,-z'
'-x+1/2,-y+1/2,z'
'x+1/2,y+1/2,-z'
'y,-x+1/2,z'
'-y,x+1/2,-z'
'x+1/2,-y,-z'
'-x+1/2,y,z'
'-y,-x,-z'
'y,x,z'
'-x,y+1/2,-z'
'x,-y+1/2,z'
'y+1/2,x+1/2,-z'
'-y+1/2,-x+1/2,z'
loop_
_atom_site_label
_atom_site_type_symbol
_atom_site_fract_x
_atom_site_fract_y
_atom_site_fract_z
_atom_site_occupancy
Ca1 Ca 0.2500 0.2500 0.2465 1
Mg1 Mg 0.2500 0.2500 0.9462 1
Mg2 Mg 0.2500 0.7500 0.5000 1
Pb1 Pb 0.2500 0.2500 0.6751 1



[9]
# Al2RuCl PBE optimized geometry
# distance to the lowest polymorph of the same formula	0.9485	eV/atom
# crystal system	cubic
# formation energy (no corrections)	127	kJ/mol of formula units
data_Al2RuCl
_chemical_formula_sum 'Al8 Ru4 Cl4'
_space_group_name_H-M_alt 'F -4 3 m'
_space_group_IT_number 216
_space_group_name_Hall 'F -4 2 3'
_cell_length_a 6.3416
_cell_length_b 6.3416
_cell_length_c 6.3416
_cell_angle_alpha 90.00
_cell_angle_beta 90.00
_cell_angle_gamma 90.00
loop_
_atom_site_label
_atom_site_type_symbol
_atom_site_fract_x
_atom_site_fract_y
_atom_site_fract_z
_atom_site_occupancy
Al1 Al 0.0000 0.0000 0.0000 1
Al2 Al 0.2500 0.2500 0.2500 1
Ru1 Ru 0.2500 0.2500 0.7500 1
Cl1 Cl 0.0000 0.0000 0.5000 1



[10]
# CeAl11 PBE optimized geometry
# crystal system	tetragonal
# ΔH_f (0 K)	-8.4	kJ/mol of atoms
data_CeAl11
_chemical_formula_sum 'Ce4 Al44'
_space_group_name_H-M_alt 'I 41/a m d'
_space_group_IT_number 141
_cell_length_a 11.0090
_cell_length_b 11.0090
_cell_length_c 7.1729
_cell_angle_alpha 90.00
_cell_angle_beta 90.00
_cell_angle_gamma 90.00
loop_
_space_group_symop_operation_xyz
'x,y,z'
'-x,-y,-z'
'-y+1/4,x+3/4,z+1/4'
'y+1/4,-x+3/4,-z+1/4'
'-x+1/2,-y,z+1/2'
'x+1/2,y,-z+1/2'
'y+1/4,-x+1/4,z+3/4'
'-y+1/4,x+1/4,-z+3/4'
'x,-y,-z'
'-x,y,z'
'-y+1/4,-x+1/4,-z+3/4'
'y+1/4,x+1/4,z+3/4'
'-x+1/2,y,-z+1/2'
'x+1/2,-y,z+1/2'
'y+1/4,x+3/4,-z+1/4'
'-y+1/4,-x+3/4,z+1/4'
'x+1/2,y+1/2,z+1/2'
'-x+1/2,-y+1/2,-z+1/2'
'-y+3/4,x+1/4,z+3/4'
'y+3/4,-x+1/4,-z+3/4'
'-x,-y+1/2,z'
'x,y+1/2,-z'
'y+3/4,-x+3/4,z+1/4'
'-y+3/4,x+3/4,-z+1/4'
'x+1/2,-y+1/2,-z+1/2'
'-x+1/2,y+1/2,z+1/2'
'-y+3/4,-x+3/4,-z+1/4'
'y+3/4,x+3/4,z+1/4'
'-x,y+1/2,-z'
'x,-y+1/2,z'
'y+3/4,x+1/4,-z+3/4'
'-y+3/4,-x+1/4,z+3/4'
loop_
_atom_site_label
_atom_site_type_symbol
_atom_site_fract_x
_atom_site_fract_y
_atom_site_fract_z
_atom_site_occupancy
Ce1 Ce 0.0000 0.2500 0.3750 1
Al1 Al 0.0000 0.0000 0.0000 1
Al2 Al 0.0000 0.2500 0.8750 1
Al3 Al 0.1216 0.0440 0.6780 1



[11]
# AcYHo3Er PBE optimized geometry
# crystal system	monoclinic
# ΔH_f (0 K)	23.9	kJ/mol of atoms
data_AcYHo3Er
_chemical_formula_sum 'Ac4 Y4 Ho12 Er4'
_space_group_name_H-M_alt 'C 1 2/m 1'
_space_group_IT_number 12
_cell_length_a 19.6077
_cell_length_b 5.6094
_cell_length_c 7.6407
_cell_angle_alpha 90.00
_cell_angle_beta 90.59
_cell_angle_gamma 90.00
loop_
_space_group_symop_operation_xyz
'x,y,z'
'-x,-y,-z'
'-x,y,-z'
'x,-y,z'
'x+1/2,y+1/2,z'
'-x+1/2,-y+1/2,-z'
'-x+1/2,y+1/2,-z'
'x+1/2,-y+1/2,z'
loop_
_atom_site_label
_atom_site_type_symbol
_atom_site_fract_x
_atom_site_fract_y
_atom_site_fract_z
_atom_site_occupancy
Ac1 Ac 0.1383 0.0000 0.0226 1
Y1 Y 0.0544 0.5000 0.3108 1
Ho1 Ho 0.0256 0.0000 0.6973 1
Ho2 Ho 0.1655 0.5000 0.7046 1
Ho3 Ho 0.2215 0.5000 0.2488 1
Er1 Er 0.1550 0.0000 0.4476 1



[12]
# BaTeBrN2 PBE optimized geometry
# distance to the lowest polymorph of the same formula	0.0000	eV/atom
# crystal system	tetragonal
# formation energy (no corrections)	608	kJ/mol of formula units
data_BaTeBrN2
_chemical_formula_sum 'Ba1 Te1 Br1 N2'
_space_group_name_H-M_alt 'P 4/m m m'
_space_group_IT_number 123
_space_group_name_Hall '-P 4 2'
_cell_length_a 4.7081
_cell_length_b 4.7081
_cell_length_c 5.6952
_cell_angle_alpha 90.00
_cell_angle_beta 90.00
_cell_angle_gamma 90.00
loop_
_atom_site_label
_atom_site_type_symbol
_atom_site_fract_x
_atom_site_fract_y
_atom_site_fract_z
_atom_site_occupancy
Ba1 Ba 0.0000 0.0000 0.0000 1
Te1 Te 0.5000 0.5000 0.0000 1
Br1 Br 0.5000 0.5000 0.5000 1
N1 N 0.0000 0.5000 0.5000 1



no.,total magnetization (μB/cell)
1,0.0
2,0.0
3,4.1
4,0.0
5,14.5
6,0.0
7,1.8
8,0.0
9,0.0
10,2.6
11,0.0
12,2.5